FeSeCl2 after structural relaxation. Source: the Alexandria database, functional PBEsol.

Output
The value obtained for the magnetization is 0.896 μB/atom. As for the uncorrected formation energy: 0.30 eV per atom. As for the density: 4.67 g cm⁻³.

Cell lengths 3.0801, 4.1868, 5.6660 Å; angles 90.00, 90.00, 90.00 degrees
Positions (direct):
Fe (0.5000, 0.5000, 0.0000)
Se (0.0000, 0.5000, 0.5000)
Cl (0.0000, 0.0000, 0.0000)
Cl (0.5000, 0.0000, 0.5000)